<i>
The following is a DFT calculation (GGA-PBE) of a relaxed structure of Tb3Pr2Sm.

Calculated values
Crystal system: orthorhombic
SG: No. 58
Volume: 410.6 Å³/cell
Magnetization: 0.0 μB/cell

Cell lengths 3.4211, 6.7529, 17.7742 Å; angles 90.00, 90.00, 90.00 degrees
Sites, in units of the cell vectors:
Sm 0.0000 0.0000 0.5000
Sm 0.5000 0.5000 0.0000
Tb 0.0000 0.7593 0.3241
Tb 0.5000 0.7407 0.8241
Tb 0.5000 0.2593 0.1759
Tb 0.0000 0.2407 0.6759
Tb 0.5000 0.5000 0.5000
Tb 0.0000 0.0000 0.0000
Pr 0.0000 0.7345 0.6528
Pr 0.5000 0.2345 0.8472
Pr 0.0000 0.2655 0.3472
Pr 0.5000 0.7655 0.1528

***

<ii>
The following is a DFT calculation (GGA-PBE) of a relaxed structure of Tb3Pr2Sm.

Calculated values
Crystal system: monoclinic
SG: No. 15
Volume: 406.7 Å³/cell
Magnetization: 0.0 μB/cell

Cell lengths 6.7610, 10.2783, 10.2783 Å; angles 68.48, 49.17, 49.17 degrees
Sites, in units of the cell vectors:
Tb 0.7500 0.7328 0.2672
Tb 0.6692 0.6647 0.6661
Tb 0.8308 0.3339 0.3353
Tb 0.2500 0.2672 0.7328
Tb 0.1692 0.6661 0.6647
Tb 0.3308 0.3353 0.3339
Pr 0.9119 0.9320 0.4046
Pr 0.5881 0.5954 0.0680
Pr 0.0881 0.0680 0.5954
Pr 0.4119 0.4046 0.9320
Sm 0.0000 0.0000 0.0000
Sm 0.5000 0.0000 0.0000

***

<ii> wins, 7.2 kJ/mol of atoms ahead of the next structure.

***

<i>
The following is a DFT calculation (GGA-PBE) of a relaxed structure of Tb3Pr2Sm8.

Calculated values
Crystal system: monoclinic
SG: No. 12
Volume: 455.7 Å³/cell
Magnetization: 0.0 μB/cell

Cell lengths 5.6745, 7.7109, 11.1049 Å; angles 110.32, 90.02, 90.00 degrees
Sites, in units of the cell vectors:
Pr 0.5008 0.7592 0.5184
Pr 0.4992 0.2408 0.4816
Tb 0.0000 0.7132 0.0000
Tb 0.5000 0.0000 0.0000
Tb 0.0000 0.2868 0.0000
Sm 0.4998 0.6037 0.7913
Sm 0.5002 0.8125 0.2087
Sm 0.9994 0.3342 0.6684
Sm 0.0003 0.8704 0.7408
Sm 0.4998 0.1875 0.7913
Sm 0.0006 0.6658 0.3316
Sm 0.5002 0.3963 0.2087
Sm 0.9997 0.1296 0.2592

***

<ii>
The following is a DFT calculation (GGA-PBE) of a relaxed structure of Tb3Pr2Sm8.

Calculated values
Crystal system: triclinic
SG: No. 2
Volume: 438.5 Å³/cell
Magnetization: 0.0 μB/cell

Cell lengths 6.2811, 6.2785, 11.4726 Å; angles 79.50, 89.99, 99.55 degrees
Sites, in units of the cell vectors:
Sm 0.3078 0.8467 0.6180
Sm 0.3820 0.3075 0.7726
Sm 0.8439 0.0768 0.6958
Sm 0.6922 0.1533 0.3820
Sm 0.6180 0.6925 0.2274
Sm 0.1561 0.9232 0.3042
Sm 0.9216 0.5391 0.8487
Sm 0.0784 0.4609 0.1513
Pr 0.2304 0.3835 0.4607
Pr 0.7696 0.6165 0.5393
Tb 0.5387 0.2303 0.0755
Tb 0.0000 0.0000 0.0000
Tb 0.4613 0.7697 0.9245

***

<ii> wins, 19.3 kJ/mol of atoms ahead of the next structure.

***

<i>
The following is a DFT calculation (GGA-PBE) of a relaxed structure of Tb2Pr3Sm7.

Calculated values
Crystal system: monoclinic
SG: No. 10
Volume: 413.3 Å³/cell
Magnetization: 0.0 μB/cell

Cell lengths 3.6290, 5.9507, 19.1670 Å; angles 93.03, 90.00, 90.00 degrees
Sites, in units of the cell vectors:
Tb 0.5000 0.7101 0.2943
Tb 0.5000 0.2899 0.7057
Sm 0.0000 0.0000 0.0000
Sm 0.5000 0.8101 0.8218
Sm 0.5000 0.7430 0.4636
Sm 0.0000 0.3119 0.8551
Sm 0.0000 0.6881 0.1449
Sm 0.5000 0.2570 0.5364
Sm 0.5000 0.1899 0.1782
Pr 0.5000 0.5000 0.0000
Pr 0.0000 0.7807 0.6337
Pr 0.0000 0.2193 0.3663

***

<ii>
The following is a DFT calculation (GGA-PBE) of a relaxed structure of Tb2Pr3Sm7.

Calculated values
Crystal system: monoclinic
SG: No. 10
Volume: 412.2 Å³/cell
Magnetization: 0.0 μB/cell

Cell lengths 3.5881, 6.4695, 18.3287 Å; angles 75.66, 90.00, 90.00 degrees
Sites, in units of the cell vectors:
Sm 0.0000 0.5621 0.1674
Sm 0.5000 0.2440 0.5012
Sm 0.0000 0.4379 0.8326
Sm 0.0000 0.0000 0.0000
Sm 0.5000 0.9446 0.8324
Sm 0.5000 0.7560 0.4988
Sm 0.5000 0.0554 0.1676
Pr 0.0000 0.1126 0.3390
Pr 0.5000 0.5000 0.0000
Pr 0.0000 0.8874 0.6610
Tb 0.5000 0.6155 0.3287
Tb 0.5000 0.3845 0.6713

***

<ii> wins, 0.7 kJ/mol of atoms ahead of the next structure.

***

<i>
The following is a DFT calculation (GGA-PBE) of a relaxed structure of TbPrSm3.

Calculated values
Crystal system: triclinic
SG: No. 2
Volume: 341.2 Å³/cell
Magnetization: 0.0 μB/cell

Cell lengths 6.6140, 11.8236, 6.5923 Å; angles 124.12, 120.04, 89.68 degrees
Sites, in units of the cell vectors:
Sm 0.8700 0.8126 0.3294
Sm 0.7072 0.1877 0.8342
Sm 0.1300 0.1874 0.6706
Sm 0.2928 0.8123 0.1658
Sm 0.3072 0.4577 0.6099
Sm 0.6928 0.5423 0.3901
Tb 0.5447 0.1862 0.2475
Tb 0.4553 0.8138 0.7525
Pr 0.0000 0.5000 0.0000
Pr 0.0000 0.0000 0.0000

***

<ii>
The following is a DFT calculation (GGA-PBE) of a relaxed structure of TbPrSm3.

Calculated values
Crystal system: monoclinic
SG: No. 12
Volume: 338.9 Å³/cell
Magnetization: 0.0 μB/cell

Cell lengths 3.6320, 10.2865, 9.6019 Å; angles 74.47, 100.90, 90.00 degrees
Sites, in units of the cell vectors:
Sm 0.7993 0.3478 0.5985
Sm 0.9998 0.2471 0.9996
Sm 0.2007 0.6522 0.4015
Sm 0.0002 0.7529 0.0004
Sm 0.3992 0.0492 0.7984
Sm 0.6008 0.9508 0.2016
Pr 0.3993 0.5515 0.7987
Pr 0.6007 0.4485 0.2013
Tb 0.2006 0.1471 0.4012
Tb 0.7994 0.8529 0.5988

***

<ii> wins, 14.3 kJ/mol of atoms ahead of the next structure.